1.
VASP calculation (PBE) on a geometry-optimized La3Fe structure.

Structure (POSCAR):
```
La3Fe
1.0
-0.7369 -3.7827 -0.2515
3.5227 1.3412 -0.8410
2.6412 -1.1303 9.2604
Fe La
1 3
Direct
0.0000 0.0000 0.0000 Fe
0.0000 0.0000 0.5000 La
0.6667 0.3333 0.1740 La
0.6667 0.3333 0.8260 La
```

Density of states at the Fermi level ... 6.90 states/eV/cell

2.
VASP calculation (PBE) on a geometry-optimized La2Fe structure.

Structure (POSCAR):
```
La2Fe
1.0
2.0201 -4.4835 3.9500
1.2900 1.4349 6.0052
-3.7683 -2.0678 4.6162
La Fe
4 2
Direct
0.6250 0.1250 0.1250 La
0.1250 0.1250 0.1250 La
0.1250 0.6250 0.1250 La
0.1250 0.1250 0.6250 La
0.5000 0.5000 0.5000 Fe
0.7500 0.7500 0.7500 Fe
```

Density of states at the Fermi level ... 15.21 states/eV/cell

3.
VASP calculation (PBE) on a geometry-optimized La3Fe structure.

Structure (POSCAR):
```
La3Fe
1.0
-2.3099 2.7453 0.4993
-4.6980 -1.6925 -3.6682
-1.0115 -0.3677 6.1019
Fe La
1 3
Direct
0.0000 0.0000 0.0000 Fe
0.5000 0.0000 0.5000 La
0.5000 0.5000 0.0000 La
0.0000 0.5000 0.5000 La
```

Density of states at the Fermi level ... 8.30 states/eV/cell

4.
VASP calculation (PBE) on a geometry-optimized La3Fe4 structure.

Structure (POSCAR):
```
La3Fe4
1.0
3.3282 -5.7646 0.0000
3.3282 5.7646 0.0000
0.0000 0.0000 4.4015
La Fe
3 4
Direct
0.0000 0.5000 0.0000 La
0.5000 0.5000 0.0000 La
0.5000 0.0000 0.0000 La
0.0000 0.0000 0.2433 Fe
0.0000 0.0000 0.7567 Fe
0.6667 0.3333 0.5000 Fe
0.3333 0.6667 0.5000 Fe
```

Polymorph energy (0 for the lowest one) ... 574 meV per atom
Density of states at the Fermi level ... 13.30 states/eV/cell

5.
VASP calculation (PBE) on a geometry-optimized LaFe structure.

Structure (POSCAR):
```
LaFe
1.0
5.7016 0.0000 0.0000
0.0000 5.7016 0.0000
0.0000 0.0000 5.7016
La Fe
4 4
Direct
0.0697 0.0697 0.0697 La
0.4303 0.9303 0.5697 La
0.9303 0.5697 0.4303 La
0.5697 0.4303 0.9303 La
0.4177 0.4177 0.4177 Fe
0.0823 0.5823 0.9177 Fe
0.5823 0.9177 0.0823 Fe
0.9177 0.0823 0.5823 Fe
```

Density of states at the Fermi level ... 15.24 states/eV/cell

6.
VASP calculation (PBE) on a geometry-optimized La2Fe structure.

Structure (POSCAR):
```
La2Fe
1.0
4.1769 0.0000 0.0000
0.0000 6.5036 0.0000
0.0000 0.0000 6.4959
La Fe
4 2
Direct
0.0000 0.3058 0.2989 La
0.0000 0.6942 0.7011 La
0.5000 0.1942 0.7989 La
0.5000 0.8058 0.2011 La
0.0000 0.0000 0.0000 Fe
0.5000 0.5000 0.5000 Fe
```

Density of states at the Fermi level ... 4.32 states/eV/cell

7.
VASP calculation (PBE) on a geometry-optimized La4Fe structure.

Structure (POSCAR):
```
La4Fe
1.0
-2.0682 2.0682 9.8894
2.0682 -2.0682 9.8894
2.0682 2.0682 -9.8894
La Fe
4 1
Direct
0.7500 0.2500 0.5000 La
0.2500 0.7500 0.5000 La
0.5778 0.5778 0.0000 La
0.4222 0.4222 0.0000 La
0.0000 0.0000 0.0000 Fe
```

Polymorph energy (0 for the lowest one) ... 591 meV per atom
Density of states at the Fermi level ... 9.81 states/eV/cell

8.
VASP calculation (PBE) on a geometry-optimized LaFe structure.

Structure (POSCAR):
```
LaFe
1.0
3.6538 0.0000 0.0000
-1.8269 3.1643 0.0000
0.0000 0.0000 8.4485
Fe La
2 2
Direct
0.0000 0.0000 0.0923 Fe
0.6667 0.3333 0.1577 Fe
0.0000 0.0000 0.4241 La
0.6667 0.3333 0.8259 La
```

Density of states at the Fermi level ... 4.89 states/eV/cell

| no. | energy of formation from the pure elements (kJ/mol of atoms) | total DFT energy (no corrections) (eV per cell) |
| --- | --- | --- |
| 1 | 28 | -22.1 |
| 2 | 99 | -30.5 |
| 3 | 43 | -21.5 |
| 4 | 81 | -42.7 |
| 5 | 45 | -49.8 |
| 6 | 13 | -35.9 |
| 7 | 61 | -25.0 |
| 8 | 34 | -25.4 |